# PBE Ca4SbMo, optimized geometry
# * formation energy without anion corrections: 0.71 eV per atom
data_Ca4SbMo
_chemical_formula_sum 'Ca4 Sb1 Mo1'
_cell_length_a 6.418
_cell_length_b 6.418
_cell_length_c 6.418
_cell_angle_alpha 60.00
_cell_angle_beta 60.00
_cell_angle_gamma 60.00
_space_group_name_H-M_alt 'P 1'
_space_group_IT_number 1
loop_
_space_group_symop_operation_xyz
'x,y,z'
loop_
_atom_site_label
_atom_site_fract_x
_atom_site_fract_y
_atom_site_fract_z
Ca1 0.375 0.874 0.375
Ca2 0.874 0.375 0.375
Ca3 0.375 0.375 0.874
Ca4 0.375 0.375 0.375
Sb1 0.000 0.000 0.000
Mo1 0.750 0.750 0.750

=====

# PBE Ba4Pd2Cl, optimized geometry
# * E above lowest polymorph: 194 meV/atom
# * formation energy without anion corrections: -0.70 eV per atom
data_Ba4Pd2Cl
_chemical_formula_sum 'Ba4 Pd2 Cl1'
_cell_length_a 6.159
_cell_length_b 6.159
_cell_length_c 8.889
_cell_angle_alpha 69.73
_cell_angle_beta 69.73
_cell_angle_gamma 90.00
_space_group_name_H-M_alt 'P 1'
_space_group_IT_number 1
loop_
_space_group_symop_operation_xyz
'x,y,z'
loop_
_atom_site_label
_atom_site_fract_x
_atom_site_fract_y
_atom_site_fract_z
Ba1 0.782 0.782 0.437
Ba2 0.218 0.218 0.563
Ba3 0.000 0.500 0.000
Ba4 0.500 0.000 0.000
Pd1 0.588 0.588 0.824
Pd2 0.412 0.412 0.176
Cl1 0.000 0.000 0.000

=====

# PBE TlHgW2, optimized geometry
# * E above lowest polymorph: 542 meV/atom
# * energy of formation from the pure elements: 4.55 eV per formula unit
data_TlHgW2
_chemical_formula_sum 'Tl1 Hg1 W2'
_cell_length_a 5.440
_cell_length_b 5.440
_cell_length_c 2.852
_cell_angle_alpha 90.00
_cell_angle_beta 90.00
_cell_angle_gamma 116.68
_space_group_name_H-M_alt 'P 1'
_space_group_IT_number 1
loop_
_space_group_symop_operation_xyz
'x,y,z'
loop_
_atom_site_label
_atom_site_fract_x
_atom_site_fract_y
_atom_site_fract_z
Hg1 0.500 0.000 0.500
Tl1 0.000 0.500 0.500
W1 0.000 0.000 0.000
W2 0.500 0.500 0.000

=====

no.,density of states at the Fermi level (states/eV per cell),total energy (eV per atom)
1,4.72,-3.12
2,6.27,-3.54
3,4.29,-6.01